Here is a relaxed Li5Mg6Cd crystal from the Alexandria database. Energies are from GGA-PBE.

```
Li5Mg6Cd
1.0
7.570 -3.458 0.000
7.570 3.458 0.000
-1.535 0.000 4.606
Li Mg Cd
5 6 1
Cartesian
0.000 0.000 0.000
1.509 0.000 3.069
4.581 0.000 1.556
9.025 0.000 3.050
12.097 0.000 1.537
3.735 1.763 3.833
6.803 1.782 2.303
9.871 1.763 0.773
3.735 -1.763 3.833
6.803 -1.782 2.303
9.871 -1.763 0.773
7.570 0.000 0.000
```

- Energy of formation from the pure elements: -0.093 eV/atom
- DFT total energy: -1.7641 eV/atom